1.
A relaxed Ga2NClO crystal, computed with PBE.

Results
The final energy comes out at -19.1 eV/f.u. The calculation puts the density of states at the Fermi level at 0.35 states/eV per atom. The value obtained for the formation energy (no corrections) is 408 meV/atom. The calculation puts the magnetic moment at 0.04 μB/f.u.

Cell lengths 4.3611, 3.8438, 4.3611 Å; angles 90.00, 90.00, 90.00 degrees
Site moments in Bohr magnetons follow the coordinates.
Fractional coordinates of all 5 atoms:
1 O 0.0000 0.5000 0.0000  -0.14
2 Ga 0.5000 0.0000 0.0000  0.01
3 Ga 0.0000 0.0000 0.5000  0.00
4 Cl 0.5000 0.5000 0.5000  0.00
5 N 0.0000 0.0000 0.0000  0.08

2.
A relaxed GaP2NCl crystal, computed with PBE.

Results
The calculation puts the polymorph energy (0 for the lowest one) at 0.00 eV/f.u. The final energy comes out at -20.7 eV/f.u. The calculation puts the density of states at the Fermi level at 0.65 states/eV per atom. The value obtained for the formation energy (no corrections) is 674 meV/atom. The calculation puts the magnetic moment at 0.55 μB/f.u.

Cell lengths 3.8382, 3.8382, 6.7987 Å; angles 90.00, 90.00, 90.00 degrees
Site moments in Bohr magnetons follow the coordinates.
Fractional coordinates of all 5 atoms:
1 Cl 0.0000 0.0000 0.5000  0.00
2 P 0.0000 0.5000 0.0000  0.06
3 P 0.5000 0.0000 0.0000  0.06
4 N 0.0000 0.0000 0.0000  0.20
5 Ga 0.5000 0.5000 0.5000  0.01

3.
A relaxed GaPNCl2 crystal, computed with PBE.

Results
The calculation puts the polymorph energy (0 for the lowest one) at 0.00 eV/f.u. The final energy comes out at -18.2 eV/f.u. The calculation puts the density of states at the Fermi level at 0.82 states/eV per atom. The value obtained for the formation energy (no corrections) is 452 meV/atom. The calculation puts the magnetic moment at 0.00 μB/f.u.

Cell lengths 6.0519, 6.0519, 3.2686 Å; angles 90.00, 90.00, 90.00 degrees
Fractional coordinates of all 5 atoms:
1 N 0.0000 0.0000 0.0000
2 P 0.0000 0.0000 0.5000
3 Cl 0.5000 0.0000 0.0000
4 Cl 0.0000 0.5000 0.0000
5 Ga 0.5000 0.5000 0.5000

4.
A relaxed GaP2NCl crystal, computed with PBE.

Results
The calculation puts the polymorph energy (0 for the lowest one) at 5.60 eV/f.u. The final energy comes out at -15.0 eV/f.u. The calculation puts the density of states at the Fermi level at 0.78 states/eV per atom. The value obtained for the formation energy (no corrections) is 1794 meV/atom. The calculation puts the magnetic moment at 0.00 μB/f.u.

Cell lengths 4.7553, 4.7553, 4.5517 Å; angles 90.00, 90.00, 90.00 degrees
Fractional coordinates of all 5 atoms:
1 N 0.5000 0.5000 0.5000
2 Ga 0.0000 0.0000 0.0000
3 P 0.5000 0.0000 0.0000
4 P 0.0000 0.5000 0.0000
5 Cl 0.0000 0.0000 0.5000

What are the calculated volume values for these records? In order: 14.6, 20.0, 23.9, 20.6 Å³ per atom.